[1]
## ScTa2Ru (PBE)

Data for a relaxed ScTa2Ru crystal.

For the calculated volume, the calculation gives 70.6 Å³/cell. As for the energy relative to the elements: -261 meV/atom. Its space group is No. 71.

a = 5.5632 Å, b = 5.5633 Å, c = 4.5546 Å
α = 65.82°, β = 65.82°, γ = 33.65°
Last column: nearest neighbours and their distance in Å.
Element x y z (fractional)
Sc (0.2500, 0.2500, 0.2500)  4 Ru 2.79, 4 Ta 3.04
Ta (0.4819, 0.4819, 0.5181)  2 Ru 2.75, 4 Ta 2.81, 2 Sc 3.04
Ta (0.0181, 0.0181, 0.9819)  2 Ru 2.75, 4 Ta 2.81, 2 Sc 3.04
Ru (0.7500, 0.7500, 0.7500)  4 Ta 2.75, 4 Sc 2.79



[2]
## Sc2TaRu (PBE)

Data for a relaxed Sc2TaRu crystal.

For the calculated volume, the calculation gives 79.0 Å³/cell. As for the energy relative to the elements: -11 meV/atom. Its space group is No. 160. The energy above the most stable polymorph in this dataset is 0.250 eV per atom.

a = 9.4878 Å, b = 9.4878 Å, c = 9.4878 Å
α = 18.98°, β = 18.98°, γ = 18.98°
Last column: nearest neighbours and their distance in Å.
Element x y z (fractional)
Ru (0.7536, 0.7536, 0.7536)  3 Ta 2.65, 3 Sc 2.72
Ta (0.4895, 0.4895, 0.4895)  3 Ru 2.65
Sc (0.2427, 0.2427, 0.2427)  3 Ta 3.02, 6 Sc 3.13
Sc (0.0141, 0.0141, 0.0141)  3 Ru 2.72



[3]
## ScTa2Ru (PBE)

Data for a relaxed ScTa2Ru crystal.

For the calculated volume, the calculation gives 157.6 Å³/cell. As for the energy relative to the elements: 302 meV/atom. Its space group is No. 122.

a = 7.5609 Å, b = 7.5609 Å, c = 6.0157 Å
α = 51.07°, β = 51.07°, γ = 90.00°
Last column: nearest neighbours and their distance in Å.
Element x y z (fractional)
Ru (0.0000, 0.0000, 0.0000)  4 Ta 2.52, 2 Sc 2.76
Ru (0.7500, 0.2500, 0.5000)  4 Ta 2.52, 2 Sc 2.76
Ta (0.3750, 0.3258, 0.7500)  2 Ru 2.52
Ta (0.0758, 0.6250, 0.2500)  2 Ru 2.52
Ta (0.6742, 0.1250, 0.2500)  2 Ru 2.52
Ta (0.8750, 0.9242, 0.7500)  2 Ru 2.52
Sc (0.2500, 0.7500, 0.5000)  2 Ru 2.76, 4 Ta 3.03
Sc (0.5000, 0.5000, 0.0000)  2 Ru 2.76, 4 Ta 3.03



[4]
## ScTa4Ru5 (PBE)

Data for a relaxed ScTa4Ru5 crystal.

For the calculated volume, the calculation gives 161.4 Å³/cell. As for the energy relative to the elements: -425 meV/atom. Its space group is No. 123.

a = 3.2011 Å, b = 3.2011 Å, c = 15.7527 Å
α = 90.00°, β = 90.00°, γ = 90.00°
Last column: nearest neighbours and their distance in Å.
Element x y z (fractional)
Ta (0.0000, 0.0000, 0.5998)  8 Ru 2.72-2.76
Ta (0.0000, 0.0000, 0.2009)  8 Ru 2.70-2.79
Ta (0.0000, 0.0000, 0.7991)  8 Ru 2.70-2.79
Ta (0.0000, 0.0000, 0.4002)  8 Ru 2.72-2.76
Ru (0.5000, 0.5000, 0.3043)  8 Ta 2.72-2.79
Ru (0.5000, 0.5000, 0.8931)  4 Ta 2.70, 4 Sc 2.82
Ru (0.5000, 0.5000, 0.6957)  8 Ta 2.72-2.79
Ru (0.5000, 0.5000, 0.1069)  4 Ta 2.70, 4 Sc 2.82
Ru (0.5000, 0.5000, 0.5000)  8 Ta 2.76, 2 Ru 3.08
Sc (0.0000, 0.0000, 0.0000)  8 Ru 2.82



[5]
## ScTaRu2 (PBE)

Data for a relaxed ScTaRu2 crystal.

For the calculated volume, the calculation gives 67.5 Å³/cell. As for the energy relative to the elements: 27 meV/atom. Its space group is No. 99. The energy above the most stable polymorph in this dataset is 0.654 eV per atom.

a = 2.8308 Å, b = 2.8308 Å, c = 8.4278 Å
α = 90.00°, β = 90.00°, γ = 90.09°
Last column: nearest neighbours and their distance in Å.
Element x y z (fractional)
Ru (0.5000, 0.5000, 0.2230)  8 Ru 2.59-2.83
Ru (0.0000, 0.0000, 0.0278)  8 Ru 2.59-2.83
Sc (0.0000, 0.0000, 0.4766)  4 Sc 2.83, 4 Ru 2.93
Ta (0.5000, 0.5000, 0.7726)  4 Ta 2.83, 4 Ru 2.94



[6]
## Sc2TaRu (PBE)

Data for a relaxed Sc2TaRu crystal.

For the calculated volume, the calculation gives 74.4 Å³/cell. As for the energy relative to the elements: -62 meV/atom. Its space group is No. 65. The energy above the most stable polymorph in this dataset is 0.199 eV per atom.

a = 2.9774 Å, b = 2.9774 Å, c = 8.9857 Å
α = 90.00°, β = 90.00°, γ = 110.99°
Last column: nearest neighbours and their distance in Å.
Element x y z (fractional)
Sc (0.0000, 0.0000, 0.9685)  2 Ru 2.59
Sc (0.0000, 0.0000, 0.5315)  2 Ru 2.59
Ta (0.5000, 0.5000, 0.2500)  4 Ta 2.98, 4 Sc 3.04
Ru (0.5000, 0.5000, 0.7500)  4 Sc 2.59



[7]
## ScTaRu2 (PBE)

Data for a relaxed ScTaRu2 crystal.

For the calculated volume, the calculation gives 65.6 Å³/cell. As for the energy relative to the elements: -206 meV/atom. Its space group is No. 12. The energy above the most stable polymorph in this dataset is 0.420 eV per atom.

a = 5.0325 Å, b = 5.0325 Å, c = 2.9133 Å
α = 78.15°, β = 78.15°, γ = 108.25°
Last column: nearest neighbours and their distance in Å.
Element x y z (fractional)
Ru (0.0000, 0.0000, 0.0000)  2 Sc 2.64, 2 Ta 2.64, 4 Ru 2.91-2.95
Ru (0.5000, 0.5000, 0.0000)  2 Ta 2.64, 2 Sc 2.64, 4 Ru 2.91-2.95
Sc (0.5000, 0.0000, 0.5000)  4 Ru 2.64, 2 Sc 2.91, 2 Ta 2.95
Ta (0.0000, 0.5000, 0.5000)  4 Ru 2.64, 2 Ta 2.91, 2 Sc 2.95



[8]
## ScTa2Ru (PBE)

Data for a relaxed ScTa2Ru crystal.

For the calculated volume, the calculation gives 71.1 Å³/cell. As for the energy relative to the elements: 103 meV/atom. Its space group is No. 65.

a = 5.3138 Å, b = 5.3138 Å, c = 2.9023 Å
α = 90.00°, β = 90.00°, γ = 119.79°
Last column: nearest neighbours and their distance in Å.
Element x y z (fractional)
Ta (0.0000, 0.0000, 0.0000)  4 Ta 2.67-2.90
Ta (0.5000, 0.5000, 0.0000)  4 Ta 2.67-2.90
Sc (0.0000, 0.5000, 0.5000)  2 Ru 2.67, 2 Sc 2.90
Ru (0.5000, 0.0000, 0.5000)  2 Sc 2.67, 2 Ru 2.90